(1)
# PBEsol BiP2PbO, optimized geometry
# E_tot   -4.58 eV/atom
# Theoretical density   7.1 g cm⁻³
data_BiP2PbO
_space_group_name_H-M_alt 'P 4/m m m'
_space_group_IT_number 123
_space_group_name_Hall '-P 4 2'
_cell_length_a 5.2531
_cell_length_b 5.2531
_cell_length_c 4.1747
_cell_angle_alpha 90.00
_cell_angle_beta 90.00
_cell_angle_gamma 90.00
loop_
_atom_site_label
_atom_site_fract_x
_atom_site_fract_y
_atom_site_fract_z
Bi1 0.0000 0.0000 0.0000
P1 0.0000 0.5000 0.0000
Pb1 0.5000 0.5000 0.5000
O1 0.0000 0.0000 0.5000

(2)
# PBEsol La2CdPb, optimized geometry
# E_tot   -4.45 eV/atom
# Theoretical density   8.5 g cm⁻³
data_La2CdPb
_space_group_name_H-M_alt 'C m m m'
_space_group_IT_number 65
_space_group_name_Hall '-C 2 2'
_cell_length_a 7.2304
_cell_length_b 8.8931
_cell_length_c 3.6309
_cell_angle_alpha 90.00
_cell_angle_beta 90.00
_cell_angle_gamma 90.00
loop_
_atom_site_label
_atom_site_fract_x
_atom_site_fract_y
_atom_site_fract_z
La1 0.2500 0.2500 0.0000
Cd1 0.0000 0.0000 0.5000
Pb1 0.0000 0.5000 0.5000

Number 1: density of states at the Fermi level 4.5 states/eV per cell, V 115 Å³/cell. Number 2: density of states at the Fermi level 6.4 states/eV per cell, V 233 Å³/cell.